Density functional theory data (GGA-PBEsol) for a relaxed BPbCO2 crystal.

Unit cell a=4.1153 b=4.1153 c=3.0755 alpha=90.00 beta=90.00 gamma=90.00
Last column: nearest neighbours and their distance in Å.
Atoms (fractional coordinates):
B1 0.0000 0.0000 0.0000  2 C 1.54
Pb1 0.5000 0.5000 0.5000  8 O 2.57
C1 0.0000 0.0000 0.5000  2 B 1.54
O1 0.0000 0.5000 0.0000  2 B 2.06
O2 0.5000 0.0000 0.0000  2 B 2.06

The uncorrected formation energy comes out at 317 meV per atom. The total magnetic moment comes out at 0.00 μB/cell.